An optimized crystal structure of Ba2CdIn2. Source: Alexandria, functional GGA-PBE.

Unit cell a=10.0944 b=10.0944 c=3.9747 alpha=90.00 beta=90.00 gamma=90.00
Closest atoms and distances in Å follow each position.
Space group P4/mbm (No. 127)
One atom of each set of equivalent atoms:
Ba 0.1893 0.3107 0.0000  6 In 3.54-3.68, 2 Cd 3.67
Cd 0.0000 0.0000 0.0000  4 Ba 3.67, 2 Cd 3.97
In 0.1053 0.6053 0.5000  1 In 3.01

Values from the calculation:
- Crystal system: tetragonal
- Energy above the most stable polymorph in this dataset: 240 meV per atom
- Energy of formation: -153.9 meV/atom